1.
Below is SmDy3Er2 after structural relaxation, with properties calculated at the PBE level.

Geometry as CIF:
```
data_SmDy3Er2
_chemical_formula_sum 'Sm2 Dy6 Er4'
_cell_length_a 7.139
_cell_length_b 7.145
_cell_length_c 8.795
_cell_angle_alpha 78.26
_cell_angle_beta 78.26
_cell_angle_gamma 60.06
_space_group_name_H-M_alt 'P -1'
_space_group_IT_number 2
loop_
_space_group_symop_operation_xyz
'x,y,z'
'-x,-y,-z'
loop_
_atom_site_label
_atom_site_fract_x
_atom_site_fract_y
_atom_site_fract_z
Sm1 0.250 0.250 0.001
Dy1 0.139 0.139 0.665
Dy2 0.250 0.750 0.999
Dy3 0.361 0.861 0.336
Er1 0.140 0.638 0.664
Er2 0.360 0.362 0.335
```

Summary:
Energy of formation in eV/atom: -0.0038
Volume in Å³/atom: 31.5



2.
Below is Y2Al2Ga after structural relaxation, with properties calculated at the PBE level.

Geometry as CIF:
```
data_Y2Al2Ga
_chemical_formula_sum 'Y4 Al4 Ga2'
_cell_length_a 6.967
_cell_length_b 6.967
_cell_length_c 4.636
_cell_angle_alpha 90.00
_cell_angle_beta 90.00
_cell_angle_gamma 90.00
_space_group_name_H-M_alt 'P 4/m b m'
_space_group_IT_number 127
_space_group_name_Hall '-P 4 2ab'
loop_
_atom_site_label
_atom_site_fract_x
_atom_site_fract_y
_atom_site_fract_z
Y1 0.170 0.330 0.000
Al1 0.133 0.633 0.500
Ga1 0.000 0.000 0.500
```

Summary:
Energy of formation in eV/atom: -0.4895
Volume in Å³/atom: 22.5



3.
Below is PrAlGa after structural relaxation, with properties calculated at the PBE level.

Geometry as CIF:
```
data_PrAlGa
_chemical_formula_sum 'Pr2 Al2 Ga2'
_cell_length_a 4.200
_cell_length_b 4.200
_cell_length_c 8.601
_cell_angle_alpha 90.00
_cell_angle_beta 90.00
_cell_angle_gamma 90.00
_space_group_name_H-M_alt 'I 4 m m'
_space_group_IT_number 107
_space_group_name_Hall 'I 4 -2'
loop_
_atom_site_label
_atom_site_fract_x
_atom_site_fract_y
_atom_site_fract_z
Pr1 0.000 0.000 0.000
Al1 0.000 0.000 0.351
Ga1 0.000 0.000 0.656
```

Summary:
Energy of formation in eV/atom: -0.0834
Volume in Å³/atom: 25.3



4.
Below is Re2Tc2B after structural relaxation, with properties calculated at the PBE level.

Geometry as CIF:
```
data_Re2Tc2B
_chemical_formula_sum 'Re8 Tc8 B4'
_cell_length_a 5.838
_cell_length_b 9.109
_cell_length_c 5.693
_cell_angle_alpha 90.00
_cell_angle_beta 118.48
_cell_angle_gamma 90.00
_space_group_name_H-M_alt 'C 1 2/m 1'
_space_group_IT_number 12
loop_
_space_group_symop_operation_xyz
'x,y,z'
'-x,-y,-z'
'-x,y,-z'
'x,-y,z'
'x+1/2,y+1/2,z'
'-x+1/2,-y+1/2,-z'
'-x+1/2,y+1/2,-z'
'x+1/2,-y+1/2,z'
loop_
_atom_site_label
_atom_site_fract_x
_atom_site_fract_y
_atom_site_fract_z
Re1 0.007 0.221 0.247
Tc1 0.236 0.000 0.633
Tc2 0.243 0.000 0.099
B1 0.000 0.401 0.500
```

Summary:
Energy of formation in eV/atom: 0.0338
Volume in Å³/atom: 13.3